# 1
# HoZrSc2

Crystalline HoZrSc2 at its relaxed geometry (PBE, Alexandria via LeMat-Bulk).

* ΔH_f (0 K): 23 kJ/mol of formula units
* polymorph energy (0 for the lowest one): 25 meV/atom

a b c (Å): 4.6731 4.6731 4.6159
angles (deg): 90.00 90.00 90.00
Closest atoms and distances in Å follow each position.
Space group P4/mmm (No. 123)
Symmetry-distinct sites (fractional):
Ho 0.0000 0.0000 0.0000  8 Sc 3.28, 4 Zr 3.30
Zr 0.5000 0.5000 0.0000  8 Sc 3.28, 4 Ho 3.30
Sc 0.0000 0.5000 0.5000  4 Zr 3.28, 4 Ho 3.28, 4 Sc 3.30

# 2
# Sr2HoZnSe5

Crystalline Sr2HoZnSe5 at its relaxed geometry (PBE, Alexandria via LeMat-Bulk).

* energy relative to the elements, uncorrected: -1.520 eV per atom

a b c (Å): 4.1433 18.4911 12.7193
angles (deg): 90.00 90.00 90.00
Closest atoms and distances in Å follow each position.
Space group Cmc2_1 (No. 36)
Symmetry-distinct sites (fractional):
Sr 0.0000 0.1165 0.0000  7 Se 3.11-3.35
Sr 0.0000 0.1234 0.6377  7 Se 3.14-3.48
Ho 0.0000 0.2047 0.3326  6 Se 2.79-2.93
Zn 0.0000 0.4405 0.7483  4 Se 2.42-2.58
Se 0.0000 0.0466 0.3534  2 Zn 2.48
Se 0.0000 0.2963 0.9851  2 Ho 2.84
Se 0.0000 0.3097 0.6767  1 Zn 2.58, 2 Ho 2.88
Se 0.0000 0.3553 0.3218  1 Ho 2.79, 2 Sr 3.11
Se 0.0000 0.4980 0.0801  1 Zn 2.42

# 3
# BaWAu2

Crystalline BaWAu2 at its relaxed geometry (PBE, Alexandria via LeMat-Bulk).

* ΔH_f (0 K): 213 kJ/mol of formula units
* polymorph energy (0 for the lowest one): 327 meV/atom

a b c (Å): 3.0856 4.1323 7.5025
angles (deg): 90.00 90.00 90.00
Closest atoms and distances in Å follow each position.
Space group Pmm2 (No. 25)
Symmetry-distinct sites (fractional):
Ba 0.0000 0.0000 0.0000  2 Ba 3.09, 4 Au 3.36
W 0.5000 0.5000 0.3478  5 Au 2.74
Au 0.0000 0.0000 0.4732  4 W 2.74
Au 0.5000 0.5000 0.7133  1 W 2.74

# 4
# Ba3HfRu

Crystalline Ba3HfRu at its relaxed geometry (PBE, Alexandria via LeMat-Bulk).

* ΔH_f (0 K): 758 kJ/mol of formula units

a b c (Å): 6.1709 6.1709 6.1709
angles (deg): 90.00 90.00 90.00
Closest atoms and distances in Å follow each position.
Space group Pm-3m (No. 221)
Symmetry-distinct sites (fractional):
Ba 0.0000 0.0000 0.5000  2 Hf 3.09
Hf 0.0000 0.0000 0.0000  6 Ba 3.09
Ru 0.5000 0.5000 0.5000  12 Ba 4.36

# 5
# Mn2BeCl2

Crystalline Mn2BeCl2 at its relaxed geometry (PBE, Alexandria via LeMat-Bulk).

* polymorph energy (0 for the lowest one): 17 meV/atom
* energy relative to the elements, uncorrected: 0.383 eV per atom

a b c (Å): 4.2753 4.2753 11.1985
angles (deg): 90.00 90.00 90.00
Closest atoms and distances in Å follow each position.
Space group I4/mmm (No. 139)
Symmetry-distinct sites (fractional):
Mn 0.0000 0.0000 0.1192  4 Cl 2.59, 1 Mn 2.67
Be 0.0000 0.0000 0.5000  8 Mn 3.30, 8 Cl 3.52
Cl 0.0000 0.5000 0.2500  4 Mn 2.59

# 6
# CrCo2

Crystalline CrCo2 at its relaxed geometry (PBE, Alexandria via LeMat-Bulk).

* ΔH_f (0 K): 23 kJ/mol of formula units

a b c (Å): 9.1041 2.4837 5.8940
angles (deg): 90.00 104.11 90.00
Closest atoms and distances in Å follow each position.
Space group Cm (No. 8)
Symmetry-distinct sites (fractional):
Cr 0.0000 0.0000 0.0000  8 Co 2.46-2.48, 4 Cr 2.48-2.55
Cr 0.1737 0.5000 0.3390  8 Co 2.44-2.47, 4 Cr 2.48-2.55
Co 0.1166 0.5000 0.7260  9 Co 2.46-2.50, 3 Cr 2.46-2.47
Co 0.2788 0.0000 0.0580  5 Cr 2.44-2.48, 7 Co 2.48-2.52
Co 0.3374 0.0000 0.6674  8 Co 2.46-2.49, 4 Cr 2.47-2.48
Co 0.4501 0.5000 0.3917  4 Cr 2.46-2.47, 8 Co 2.46-2.52

# 7
# PmSm4Zn

Crystalline PmSm4Zn at its relaxed geometry (PBE, Alexandria via LeMat-Bulk).

* ΔH_f (0 K): -56 kJ/mol of formula units
* polymorph energy (0 for the lowest one): 0 meV/atom

a b c (Å): 3.6427 3.6427 13.8997
angles (deg): 90.00 90.00 90.00
Closest atoms and distances in Å follow each position.
Space group P4/mmm (No. 123)
Symmetry-distinct sites (fractional):
Pm 0.0000 0.0000 0.0000  8 Sm 3.63, 4 Pm 3.64
Sm 0.0000 0.0000 0.3705  4 Zn 3.14
Sm 0.5000 0.5000 0.1841  4 Pm 3.63, 8 Sm 3.64-3.65
Zn 0.5000 0.5000 0.5000  8 Sm 3.14

# 8
# Zn4Ga5Ag

Crystalline Zn4Ga5Ag at its relaxed geometry (PBE, Alexandria via LeMat-Bulk).

* ΔH_f (0 K): 49 kJ/mol of formula units
* polymorph energy (0 for the lowest one): 15 meV/atom

a b c (Å): 13.8824 4.0530 7.3200
angles (deg): 90.00 119.73 90.00
Closest atoms and distances in Å follow each position.
Space group C2/m (No. 12)
Symmetry-distinct sites (fractional):
Zn 0.0209 0.0000 0.2682  6 Ga 2.74-2.92, 2 Zn 2.75, 2 Ag 2.75
Zn 0.1744 0.5000 0.4265  4 Zn 2.73-2.75, 1 Ag 2.73, 5 Ga 2.79-3.00
Ga 0.0000 0.5000 0.0000  6 Zn 2.74-2.85, 4 Ga 2.96
Ga 0.1733 0.0000 0.7163  3 Ga 2.74-2.84, 5 Zn 2.75-2.94, 2 Ag 2.94
Ga 0.1750 0.0000 0.1052  3 Zn 2.74-3.00, 5 Ga 2.74-2.96
Ag 0.0000 0.5000 0.5000  6 Zn 2.73-2.75, 4 Ga 2.94

# 9
# CsLaAl2

Crystalline CsLaAl2 at its relaxed geometry (PBE, Alexandria via LeMat-Bulk).

* ΔH_f (0 K): 154 kJ/mol of formula units
* polymorph energy (0 for the lowest one): 0 meV/atom

a b c (Å): 8.0739 8.0739 8.0739
angles (deg): 90.00 90.00 90.00
Closest atoms and distances in Å follow each position.
Space group Fm-3m (No. 225)
Symmetry-distinct sites (fractional):
Cs 0.0000 0.0000 0.0000  8 Al 3.50
La 0.0000 0.0000 0.5000  8 Al 3.50
Al 0.2500 0.2500 0.2500  4 La 3.50, 4 Cs 3.50

# 10
# CrOs2Ru

Crystalline CrOs2Ru at its relaxed geometry (PBE, Alexandria via LeMat-Bulk).

* ΔH_f (0 K): 178 kJ/mol of formula units
* polymorph energy (0 for the lowest one): 395 meV/atom

a b c (Å): 4.4600 4.4600 2.8290
angles (deg): 90.00 90.00 90.00
Closest atoms and distances in Å follow each position.
Space group P4/mmm (No. 123)
Symmetry-distinct sites (fractional):
Cr 0.0000 0.0000 0.0000  8 Os 2.64, 2 Cr 2.83
Os 0.0000 0.5000 0.5000  4 Cr 2.64, 4 Ru 2.64, 2 Os 2.83
Ru 0.5000 0.5000 0.0000  8 Os 2.64, 2 Ru 2.83

# 11
# CaAc2SmBi4

Crystalline CaAc2SmBi4 at its relaxed geometry (PBE, Alexandria via LeMat-Bulk).

* ΔH_f (0 K): -671 kJ/mol of formula units

a b c (Å): 8.1018 4.7769 8.2825
angles (deg): 90.00 109.94 90.00
Closest atoms and distances in Å follow each position.
Space group P2/m (No. 10)
Symmetry-distinct sites (fractional):
Ca 0.0000 0.0000 0.0000  6 Bi 3.29-3.30
Ac 0.5000 0.0000 0.5000  6 Bi 3.42
Ac 0.5000 0.5000 0.0000  6 Bi 3.44-3.45
Sm 0.0000 0.5000 0.5000  6 Bi 3.27
Bi 0.2324 0.0000 0.7417  2 Sm 3.27, 1 Ca 3.30, 3 Ac 3.42-3.44
Bi 0.2334 0.5000 0.2471  1 Sm 3.27, 2 Ca 3.29, 3 Ac 3.42-3.45

# 12
# BaCSe3

Crystalline BaCSe3 at its relaxed geometry (PBE, Alexandria via LeMat-Bulk).

* polymorph energy (0 for the lowest one): 1745 meV/atom
* energy relative to the elements, uncorrected: 1.905 eV per atom

a b c (Å): 6.1283 6.1283 6.1283
angles (deg): 90.00 90.00 90.00
Closest atoms and distances in Å follow each position.
Space group Pm-3m (No. 221)
Symmetry-distinct sites (fractional):
Ba 0.0000 0.0000 0.0000  6 Se 3.06
C 0.5000 0.5000 0.5000  12 Se 4.33
Se 0.0000 0.0000 0.5000  2 Ba 3.06

# 13
# Ag5SO8

Crystalline Ag5SO8 at its relaxed geometry (PBE, Alexandria via LeMat-Bulk).

* energy relative to the elements, uncorrected: -0.238 eV per atom

a b c (Å): 7.9578 7.9578 6.6821
angles (deg): 90.00 90.00 90.00
Closest atoms and distances in Å follow each position.
Space group I-4 (No. 82)
Symmetry-distinct sites (fractional):
Ag 0.0000 0.0000 0.0000  4 O 2.17
Ag 0.2207 0.7340 0.1177  2 O 2.12-2.21
S 0.0000 0.5000 0.7500  4 O 1.50
O 0.0040 0.3408 0.6289  1 S 1.50
O 0.0805 0.2377 0.1275  3 Ag 2.12-2.21

# 14
# Sm6DyEr12

Crystalline Sm6DyEr12 at its relaxed geometry (PBE, Alexandria via LeMat-Bulk).

* ΔH_f (0 K): 226 kJ/mol of formula units
* polymorph energy (0 for the lowest one): 0 meV/atom

a b c (Å): 11.0307 11.0307 17.3051
angles (deg): 90.00 90.00 120.00
Closest atoms and distances in Å follow each position.
Space group R-3m (No. 166, hexagonal axes)
Symmetry-distinct sites (fractional):
Sm 0.0699 0.5349 0.2666  1 Dy 3.05, 3 Er 3.30-3.37
Dy 0.0000 0.0000 0.5000  6 Sm 3.05
Er 0.1011 0.5505 0.9140  5 Er 3.43-3.76, 5 Sm 3.53-3.64
Er 0.1061 0.2122 0.9081  3 Sm 3.30-3.37, 5 Er 3.43-3.51

# 15
# La2NiPtC

Crystalline La2NiPtC at its relaxed geometry (PBE, Alexandria via LeMat-Bulk).

* ΔH_f (0 K): -272 kJ/mol of formula units

a b c (Å): 5.3018 5.3018 3.6520
angles (deg): 90.00 90.00 90.00
Closest atoms and distances in Å follow each position.
Space group P4/mmm (No. 123)
Symmetry-distinct sites (fractional):
La 0.0000 0.5000 0.0000  2 C 2.65
Ni 0.0000 0.0000 0.5000  2 C 1.83
Pt 0.5000 0.5000 0.5000  8 La 3.22
C 0.0000 0.0000 0.0000  2 Ni 1.83

# 16
# BaCdIn2Ni

Crystalline BaCdIn2Ni at its relaxed geometry (PBE, Alexandria via LeMat-Bulk).

* ΔH_f (0 K): -62 kJ/mol of formula units
* polymorph energy (0 for the lowest one): 132 meV/atom

a b c (Å): 5.0826 5.0826 5.7349
angles (deg): 90.00 90.00 90.00
Closest atoms and distances in Å follow each position.
Space group P4/mmm (No. 123)
Symmetry-distinct sites (fractional):
Ba 0.0000 0.0000 0.0000  2 Ni 2.87
Cd 0.5000 0.5000 0.0000  4 Ba 3.59, 8 In 3.83
In 0.0000 0.5000 0.5000  2 Ni 2.54
Ni 0.0000 0.0000 0.5000  4 In 2.54

# 17
# NaSbPbS3

Crystalline NaSbPbS3 at its relaxed geometry (PBE, Alexandria via LeMat-Bulk).

* energy relative to the elements, uncorrected: -0.516 eV per atom

a b c (Å): 8.9629 3.9028 10.4491
angles (deg): 90.00 91.96 90.00
Closest atoms and distances in Å follow each position.
Space group P2_1/m (No. 11)
Symmetry-distinct sites (fractional):
Na 0.1518 0.2500 0.4406  4 S 2.76-2.85
Sb 0.3942 0.7500 0.1463  3 S 2.46-2.62
Pb 0.1236 0.2500 0.8093  4 S 2.75-3.06
S 0.1590 0.7500 0.6274  2 Pb 2.75, 3 Na 2.76-2.85
S 0.2032 0.2500 0.1767  2 Sb 2.62, 1 Na 2.81
S 0.3617 0.7500 0.9114  1 Sb 2.46

# 18
# MnBi2Sb

Crystalline MnBi2Sb at its relaxed geometry (PBE, Alexandria via LeMat-Bulk).

* energy relative to the elements, uncorrected: 0.381 eV per atom

a b c (Å): 6.5810 6.5810 13.6983
angles (deg): 90.00 90.00 90.00
Closest atoms and distances in Å follow each position.
Space group I-42d (No. 122)
Symmetry-distinct sites (fractional):
Mn 0.0000 0.0000 0.0000  4 Bi 2.75
Bi 0.2106 0.2500 0.1250  2 Mn 2.75, 2 Sb 3.04
Sb 0.0000 0.0000 0.5000  4 Bi 3.04

# 19
# Pr2Al5Cu

Crystalline Pr2Al5Cu at its relaxed geometry (PBE, Alexandria via LeMat-Bulk).

* ΔH_f (0 K): -219 kJ/mol of formula units

a b c (Å): 6.1420 6.1420 9.1279
angles (deg): 90.00 90.00 90.00
Closest atoms and distances in Å follow each position.
Space group I4mm (No. 107)
Symmetry-distinct sites (fractional):
Pr 0.0000 0.5000 0.0000  10 Al 3.09-3.17, 2 Cu 3.32
Al 0.0000 0.0000 0.4604  1 Cu 2.95, 8 Al 3.05-3.30, 4 Pr 3.09
Al 0.2297 0.2297 0.7477  1 Cu 2.55, 2 Al 2.82
Cu 0.0000 0.0000 0.1375  4 Al 2.55

# 20
# PaSnSeN2

Crystalline PaSnSeN2 at its relaxed geometry (PBE, Alexandria via LeMat-Bulk).

* energy relative to the elements, uncorrected: -0.837 eV per atom

a b c (Å): 6.3463 4.0017 7.9970
angles (deg): 90.00 101.23 90.00
Closest atoms and distances in Å follow each position.
Space group P2_1/m (No. 11)
Symmetry-distinct sites (fractional):
Pa 0.1741 0.2500 0.3968  4 N 2.21-2.27
Sn 0.1730 0.2500 0.9183  3 N 2.23
Se 0.4821 0.7500 0.2869  1 Sn 2.98, 3 Pa 3.00-3.04, 1 N 3.19
N 0.0168 0.7500 0.8748  3 Sn 2.23, 1 Pa 2.27
N 0.0271 0.7500 0.3992  3 Pa 2.21-2.26

# 21
# Mo5C3

Crystalline Mo5C3 at its relaxed geometry (PBE, Alexandria via LeMat-Bulk).

* ΔH_f (0 K): 289 kJ/mol of formula units
* polymorph energy (0 for the lowest one): 92 meV/atom

a b c (Å): 6.3313 6.3313 5.4123
angles (deg): 90.00 90.00 120.00
Closest atoms and distances in Å follow each position.
Space group P6_3/mcm (No. 193)
Symmetry-distinct sites (fractional):
Mo 0.0000 0.2450 0.2500  3 C 2.21-2.25
Mo 0.3333 0.6667 0.0000  6 C 2.36
C 0.0000 0.4002 0.7500  7 Mo 2.21-2.36

# 22
# Zn4Ag4Hg

Crystalline Zn4Ag4Hg at its relaxed geometry (PBE, Alexandria via LeMat-Bulk).

* ΔH_f (0 K): 107 kJ/mol of formula units

a b c (Å): 9.1426 9.1426 4.6689
angles (deg): 90.00 90.00 90.00
Closest atoms and distances in Å follow each position.
Space group I4/m (No. 87)
Symmetry-distinct sites (fractional):
Zn 0.1730 0.7199 0.0000  4 Ag 2.60-2.80, 2 Zn 2.78
Ag 0.1001 0.6093 0.5000  4 Zn 2.60-2.80, 1 Ag 2.71
Hg 0.0000 0.0000 0.0000  4 Zn 3.01

# 23
# Ac3LaO6

Crystalline Ac3LaO6 at its relaxed geometry (PBE, Alexandria via LeMat-Bulk).

* energy relative to the elements, uncorrected: -3.353 eV per atom

a b c (Å): 10.6283 10.6283 12.4232
angles (deg): 90.00 90.00 120.00
Closest atoms and distances in Å follow each position.
Space group R-3 (No. 148, hexagonal axes)
Symmetry-distinct sites (fractional):
Ac 0.0375 0.2654 0.2105  6 O 2.49-2.62
La 0.0000 0.0000 0.0000  6 O 2.43
La 0.0000 0.0000 0.5000  6 O 2.46
O 0.0272 0.1846 0.8722  1 La 2.43, 3 Ac 2.51-2.57
O 0.0306 0.2179 0.4069  1 La 2.46, 3 Ac 2.49-2.62

no.,DFT total energy (eV/f.u.)
1,-25.55
2,-40.32
3,-19.22
4,-17.14
5,-23.84
6,-23.59
7,-25.48
8,-22.57
9,-11.67
10,-39.51
11,-37.42
12,-12.08
13,-61.38
14,-85.33
15,-33.72
16,-14.74
17,-24.63
18,-19.53
19,-34.64
20,-37.82
21,-78.83
22,-15.69
23,-80.53